# 1
{"formula": "AgAu3", "functional": "PBE-GGA", "state": "optimized geometry", "e_above_lowest_polymorph_ev_per_atom": 0.036, "sg": "Fm-3m", "e_form_ev_per_atom": 0.0009, "lattice_angstrom": [[-3.4315, -1.0846, 2.9845], [0.9472, -2.4750, 3.8518], [-0.1809, 2.0489, 4.1986]], "species": ["Au", "Au", "Au", "Ag"], "fractional_positions": [[0.2500, 0.2500, 0.2500], [0.5000, 0.5000, 0.5000], [0.7500, 0.7500, 0.7500], [0.0000, 0.0000, 0.0000]]}

=====

# 2
{"formula": "Ca2TmUP4", "functional": "PBE-GGA", "state": "optimized geometry", "sg": "P2/m", "e_form_ev_per_atom": -1.2150, "lattice_angstrom": [[-2.9085, 2.7753, -0.4654], [-4.7781, -5.0284, -0.1251], [0.9483, 2.1067, 6.6371]], "species": ["Ca", "Ca", "Tm", "U", "P", "P", "P", "P"], "fractional_positions": [[0.5000, 0.0000, 0.5000], [0.0000, 0.5000, 0.5000], [0.5000, 0.5000, 0.0000], [0.0000, 0.0000, 0.0000], [0.5000, 0.2359, 0.2260], [0.5000, 0.7641, 0.7740], [0.0000, 0.2476, 0.7725], [0.0000, 0.7524, 0.2275]]}

=====

# 3
{"formula": "Li2SiI4", "functional": "PBE-GGA", "state": "optimized geometry", "raw_formation_energy_ev_per_atom": -0.5074, "sg": "I4/mmm", "lattice_angstrom": [[-1.2531, 0.4511, -5.6445], [-4.6842, -3.3306, 0.7737], [-7.0065, 4.5587, -1.0595]], "species": ["I", "I", "I", "I", "Si", "Li", "Li"], "fractional_positions": [[0.1944, 0.1944, 0.6113], [0.8056, 0.8056, 0.3887], [0.0000, 0.5000, 0.0000], [0.5000, 0.0000, 0.0000], [0.0000, 0.0000, 0.0000], [0.3754, 0.3754, 0.2492], [0.6246, 0.6246, 0.7508]]}

=====

no.,calculated volume (Å³ per atom),M_tot (Bohr magnetons per cell)
1,18.07,0.000
2,23.31,1.005
3,35.37,0.000